Run i
A relaxed GdPaGe2 crystal, computed with GGA-PBE.

crystal system	trigonal
size of the total moment	6.95	μB per cell

Structure (CIF):
```
data_GdPaGe2
_chemical_formula_sum 'Gd1 Pa1 Ge2'
_symmetry_space_group_name_H-M 'P 1'
_symmetry_Int_Tables_number 1
_cell_length_a 4.192
_cell_length_b 4.192
_cell_length_c 7.178
_cell_angle_alpha 73.02
_cell_angle_beta 73.02
_cell_angle_gamma 60.00
loop_
_symmetry_equiv_pos_as_xyz
'x,y,z'
loop_
_atom_site_label
_atom_site_fract_x
_atom_site_fract_y
_atom_site_fract_z
Pa1 0.500 0.500 0.500
Gd1 0.000 0.000 0.000
Ge1 0.754 0.754 0.738
Ge2 0.246 0.246 0.262
```

Run ii
A relaxed GdPaGe2 crystal, computed with GGA-PBE.

crystal system	tetragonal
size of the total moment	7.32	μB per cell

Structure (CIF):
```
data_GdPaGe2
_chemical_formula_sum 'Gd1 Pa1 Ge2'
_symmetry_space_group_name_H-M 'P 1'
_symmetry_Int_Tables_number 1
_cell_length_a 3.344
_cell_length_b 3.344
_cell_length_c 8.003
_cell_angle_alpha 90.00
_cell_angle_beta 90.00
_cell_angle_gamma 90.00
loop_
_symmetry_equiv_pos_as_xyz
'x,y,z'
loop_
_atom_site_label
_atom_site_fract_x
_atom_site_fract_y
_atom_site_fract_z
Ge1 0.000 0.000 0.247
Pa1 0.500 0.500 0.000
Gd1 0.500 0.500 0.500
Ge2 0.000 0.000 0.753
```

Run iii
A relaxed GdPaGe2 crystal, computed with GGA-PBE.

crystal system	cubic
size of the total moment	8.15	μB per cell

Structure (CIF):
```
data_GdPaGe2
_chemical_formula_sum 'Gd1 Pa1 Ge2'
_symmetry_space_group_name_H-M 'P 1'
_symmetry_Int_Tables_number 1
_cell_length_a 5.049
_cell_length_b 5.049
_cell_length_c 5.049
_cell_angle_alpha 60.00
_cell_angle_beta 60.00
_cell_angle_gamma 60.00
loop_
_symmetry_equiv_pos_as_xyz
'x,y,z'
loop_
_atom_site_label
_atom_site_fract_x
_atom_site_fract_y
_atom_site_fract_z
Pa1 0.000 0.000 0.000
Ge1 0.250 0.250 0.250
Ge2 0.750 0.750 0.750
Gd1 0.500 0.500 0.500
```

Result of the stability comparison: run iii is the least stable of them.

Run i
A relaxed Pm2GdGe crystal, computed with GGA-PBE.

crystal system	tetragonal
size of the total moment	7.75	μB per cell

Structure (CIF):
```
data_Pm2GdGe
_chemical_formula_sum 'Pm2 Gd1 Ge1'
_symmetry_space_group_name_H-M 'P 1'
_symmetry_Int_Tables_number 1
_cell_length_a 4.719
_cell_length_b 4.784
_cell_length_c 4.784
_cell_angle_alpha 90.00
_cell_angle_beta 90.00
_cell_angle_gamma 90.00
loop_
_symmetry_equiv_pos_as_xyz
'x,y,z'
loop_
_atom_site_label
_atom_site_fract_x
_atom_site_fract_y
_atom_site_fract_z
Pm1 0.000 0.500 0.000
Ge1 0.500 0.000 0.000
Pm2 0.000 0.000 0.500
Gd1 0.500 0.500 0.500
```

Run ii
A relaxed Pm2GdGe crystal, computed with GGA-PBE.

crystal system	tetragonal
size of the total moment	8.33	μB per cell

Structure (CIF):
```
data_Pm2GdGe
_chemical_formula_sum 'Pm2 Gd1 Ge1'
_symmetry_space_group_name_H-M 'P 1'
_symmetry_Int_Tables_number 1
_cell_length_a 3.990
_cell_length_b 3.990
_cell_length_c 7.068
_cell_angle_alpha 90.00
_cell_angle_beta 90.00
_cell_angle_gamma 90.00
loop_
_symmetry_equiv_pos_as_xyz
'x,y,z'
loop_
_atom_site_label
_atom_site_fract_x
_atom_site_fract_y
_atom_site_fract_z
Pm1 0.000 0.000 0.791
Pm2 0.000 0.000 0.209
Gd1 0.500 0.500 0.500
Ge1 0.500 0.500 0.000
```

Result of the stability comparison: run ii is the least stable of them.